VASP calculation (GGA-PBE) on a relaxed structure of KMgTiF6. Values from VASP.

Properties
**E_tot**: -102.9 eV for the cell shown
**Space-group type**: No. 74

```
&SYSTEM
  ibrav = 0, nat = 18, ntyp = 4
/
ATOMIC_SPECIES
K 39.10 K.upf
Mg 24.30 Mg.upf
Ti 47.87 Ti.upf
F 19.00 F.upf
ATOMIC_POSITIONS angstrom
K 0.000 1.873 0.842
K 3.649 1.873 4.397
Mg 1.825 1.873 -2.620
Mg 1.825 -1.873 2.620
Ti 3.649 0.000 0.000
Ti 0.000 0.000 5.239
F 2.200 -0.414 1.267
F 5.098 -0.414 1.267
F 3.649 -1.873 3.325
F 3.649 1.873 0.738
F 2.200 3.331 -1.267
F 1.449 -0.414 3.972
F 2.200 4.160 1.267
F 1.449 0.414 6.506
F 0.000 1.873 4.501
F 0.000 5.618 1.914
F -1.449 4.160 3.972
F 1.449 4.160 3.972
CELL_PARAMETERS angstrom
-3.649 3.745 5.239
3.649 -3.745 5.239
3.649 3.745 -5.239
```

***

VASP calculation (GGA-PBE) on a relaxed structure of K2MgTlF5. Values from VASP.

Properties
**E_tot**: -40.7 eV for the cell shown
**Space-group type**: No. 71

```
&SYSTEM
  ibrav = 0, nat = 9, ntyp = 4
/
ATOMIC_SPECIES
K 39.10 K.upf
Mg 24.30 Mg.upf
Tl 204.38 Tl.upf
F 19.00 F.upf
ATOMIC_POSITIONS angstrom
K 0.000 0.000 2.687
K 0.000 0.000 9.659
Mg 2.015 0.000 0.000
Tl 0.000 3.127 0.000
F 0.000 0.000 0.000
F 2.015 1.412 -1.476
F 2.015 1.412 1.476
F 0.000 1.716 4.697
F 0.000 1.716 7.650
CELL_PARAMETERS angstrom
-2.015 3.127 6.173
2.015 -3.127 6.173
2.015 3.127 -6.173
```

***

Computed density of states at the Fermi level (states/eV/f.u.) in order:
5.2; 0.0
Computed energy relative to the elements, uncorrected (eV per atom) in order:
-3.293; -2.802